[1]
Entry from the Alexandria database: crystalline ZrRe2Os at its relaxed geometry (GGA-PBEsol).

Computed properties:
E_tot (eV/cell): -47.35
Energy relative to the lowest polymorph listed for this composition (eV/atom): 0.061
Magnetic moment (μB/f.u.): 0.00
Symmetry: I-4m2 (119)

Lattice parameters (Å, degrees): 4.057 4.057 4.786 115.08 115.08 90.00
Fractional positions:
1 Re 0.000 0.000 0.000
2 Zr 0.500 0.500 0.000
3 Re 0.750 0.250 0.500
4 Os 0.250 0.750 0.500

---

[2]
Entry from the Alexandria database: crystalline ZrReOs2 at its relaxed geometry (GGA-PBEsol).

Computed properties:
E_tot (eV/cell): -46.44
Energy relative to the lowest polymorph listed for this composition (eV/atom): 0.052
Magnetic moment (μB/f.u.): 0.00
Symmetry: P4/mmm (123)

Lattice parameters (Å, degrees): 2.975 4.583 4.583 90.00 90.00 90.00
Fractional positions:
1 Zr 0.500 0.000 0.000
2 Os 0.000 0.000 0.500
3 Os 0.000 0.500 0.000
4 Re 0.500 0.500 0.500

---

[3]
Entry from the Alexandria database: crystalline OsRh at its relaxed geometry (GGA-PBEsol).

Computed properties:
E_tot (eV/cell): -40.36
Magnetic moment (μB/f.u.): 0.00
Symmetry: I4_1/amd (141)

Lattice parameters (Å, degrees): 3.815 3.815 4.628 114.34 114.34 90.00
Fractional positions:
1 Os 0.250 0.750 0.500
2 Os 0.000 0.000 0.000
3 Rh 0.750 0.250 0.500
4 Rh 0.500 0.500 0.000

---

[4]
Entry from the Alexandria database: crystalline Os2Rh at its relaxed geometry (GGA-PBEsol).

Computed properties:
E_tot (eV/cell): -64.97
Energy relative to the lowest polymorph listed for this composition (eV/atom): 0.023
Magnetic moment (μB/f.u.): 0.00
Symmetry: Cm (8)

Lattice parameters (Å, degrees): 2.713 5.098 6.382 103.43 90.00 105.43
Fractional positions:
1 Os 0.333 0.667 0.667
2 Os 0.669 0.337 0.333
3 Os 0.389 0.778 0.279
4 Rh 0.723 0.446 0.947
5 Os 0.998 0.996 0.001
6 Rh 0.054 0.109 0.608

---

[5]
Entry from the Alexandria database: crystalline OsRh7 at its relaxed geometry (GGA-PBEsol).

Computed properties:
E_tot (eV/cell): -68.98
Magnetic moment (μB/f.u.): 0.00
Symmetry: Fm-3m (225)

Lattice parameters (Å, degrees): 5.346 5.346 5.346 60.00 60.00 60.00
Fractional positions:
1 Os 0.000 0.000 0.000
2 Rh 0.500 0.000 0.500
3 Rh 0.500 0.500 0.000
4 Rh 0.000 0.500 0.500
5 Rh 0.500 0.000 0.000
6 Rh 0.000 0.000 0.500
7 Rh 0.500 0.500 0.500
8 Rh 0.000 0.500 0.000

---

[6]
Entry from the Alexandria database: crystalline Os5Rh at its relaxed geometry (GGA-PBEsol).

Computed properties:
E_tot (eV/cell): -69.18
Energy relative to the lowest polymorph listed for this composition (eV/atom): 0.004
Magnetic moment (μB/f.u.): 0.00
Symmetry: Amm2 (38)

Lattice parameters (Å, degrees): 2.719 4.312 7.214 90.00 100.86 90.00
Fractional positions:
1 Rh 0.111 0.500 0.223
2 Os 0.667 0.000 0.334
3 Os 0.333 0.000 0.667
4 Os 0.778 0.500 0.557
5 Os 0.442 0.500 0.885
6 Os 0.001 0.000 0.001

---

Copy entry 4 word for word.
Entry from the Alexandria database: crystalline Os2Rh at its relaxed geometry (GGA-PBEsol).

Computed properties:
E_tot (eV/cell): -64.97
Energy relative to the lowest polymorph listed for this composition (eV/atom): 0.023
Magnetic moment (μB/f.u.): 0.00
Symmetry: Cm (8)

Lattice parameters (Å, degrees): 2.713 5.098 6.382 103.43 90.00 105.43
Fractional positions:
1 Os 0.333 0.667 0.667
2 Os 0.669 0.337 0.333
3 Os 0.389 0.778 0.279
4 Rh 0.723 0.446 0.947
5 Os 0.998 0.996 0.001
6 Rh 0.054 0.109 0.608